[1]
Material: Y2FeCu
Method: DFT, PBE
State: relaxed

Total moment: 0.52 μB/atom
Total energy: -24.23 eV per cell
V: 19.515 Å³ per atom
Formation enthalpy at 0 K: 0.314 eV per atom

Lattice parameters (Å, degrees): 4.7971 4.7971 4.7971 60.00 60.00 60.00
Last column: nearest neighbours and their distance in Å.
Positions (direct):
Cu: 0.5000 0.5000 0.5000  4 Fe 2.94, 4 Y 2.94
Fe: 0.7500 0.7500 0.7500  4 Cu 2.94, 4 Y 2.94
Y: 0.0000 0.0000 0.0000  4 Fe 2.94, 4 Y 2.94
Y: 0.2500 0.2500 0.2500  4 Cu 2.94, 4 Y 2.94

=====

[2]
Material: YFe2Cu
Method: DFT, PBE
State: relaxed

Total moment: 1.19 μB/atom
Total energy: -26.23 eV per cell
V: 16.731 Å³ per atom
Formation enthalpy at 0 K: 0.314 eV per atom

Lattice parameters (Å, degrees): 4.4139 3.1590 4.8758 79.85 90.00 90.00
Last column: nearest neighbours and their distance in Å.
Positions (direct):
Cu: 0.5000 0.7500 0.7500  4 Fe 2.50, 2 Y 2.66
Fe: 0.0000 0.9133 0.9474  2 Fe 2.34-2.61, 2 Cu 2.50
Fe: 0.0000 0.5867 0.5526  2 Fe 2.34-2.61, 2 Cu 2.50
Y: 0.5000 0.2500 0.2500  2 Cu 2.66, 4 Fe 2.95

=====

[3]
Material: Y2Fe2Cu
Method: DFT, PBE
State: relaxed

Total moment: 0.55 μB/atom
Total energy: -67.47 eV per cell
V: 18.725 Å³ per atom
Formation enthalpy at 0 K: 0.042 eV per atom

Lattice parameters (Å, degrees): 6.7654 6.7654 4.0911 90.00 90.00 90.00
Last column: nearest neighbours and their distance in Å.
Positions (direct):
Y: 0.1818 0.6818 0.5000  6 Fe 2.82-2.90
Y: 0.6818 0.8182 0.5000  6 Fe 2.82-2.90
Y: 0.8182 0.3182 0.5000  6 Fe 2.82-2.90
Y: 0.3182 0.1818 0.5000  6 Fe 2.82-2.90
Fe: 0.3852 0.8852 0.0000  1 Fe 2.20
Fe: 0.8852 0.6148 0.0000  1 Fe 2.20
Fe: 0.6148 0.1148 0.0000  1 Fe 2.20
Fe: 0.1148 0.3852 0.0000  1 Fe 2.20
Cu: 0.0000 0.0000 0.0000  4 Fe 2.72
Cu: 0.5000 0.5000 0.0000  4 Fe 2.72